This record from the Alexandria database describes crystalline NaYTi at its relaxed geometry. The functional is PBE.

Values from the calculation:
D(E_F), states/eV/f.u.: 2.6
Offset from the most stable computed form, eV per atom: 0.125
Total DFT energy (no corrections), eV per cell: -29.96

Cell lengths 3.2985, 4.7911, 10.5832 Å; angles 90.00, 98.65, 90.00 degrees
Space group P2_1/m (No. 11)
Symmetry-distinct sites (fractional):
Na  0.1994  0.2500  0.4066 [2 per cell]
Y  0.4060  0.2500  0.8042 [2 per cell]
Ti  0.0251  0.2500  0.0526 [2 per cell]

This record from the Alexandria database describes crystalline FeSiC2 at its relaxed geometry. The functional is PBE.

Values from the calculation:
D(E_F), states/eV/f.u.: 2.9
E_form (uncorrected), eV/atom: 0.456
Total DFT energy (no corrections), eV per cell: -122.03

Cell lengths 4.3543, 4.3543, 8.7224 Å; angles 90.00, 90.00, 90.00 degrees
Space group I-42d (No. 122)
Symmetry-distinct sites (fractional):
Fe  0.0000  0.0000  0.0000 [4 per cell]
Si  0.0000  0.0000  0.5000 [4 per cell]
C  0.2462  0.2500  0.1250 [8 per cell]

This record from the Alexandria database describes crystalline SnRuF3 at its relaxed geometry. The functional is PBE.

Values from the calculation:
D(E_F), states/eV/f.u.: 0.9
E_form (uncorrected), eV/atom: -0.773
Offset from the most stable computed form, eV per atom: 0.135
Total DFT energy (no corrections), eV per cell: -22.76

Cell lengths 4.5760, 4.5760, 4.5760 Å; angles 90.00, 90.00, 90.00 degrees
Space group Pm-3m (No. 221)
Symmetry-distinct sites (fractional):
Sn  0.0000  0.0000  0.0000 [1 per cell]
Ru  0.5000  0.5000  0.5000 [1 per cell]
F  0.0000  0.0000  0.5000 [3 per cell]

This record from the Alexandria database describes crystalline ScBeCu2 at its relaxed geometry. The functional is PBE.

Values from the calculation:
D(E_F), states/eV/f.u.: 3.1
Total DFT energy (no corrections), eV per cell: -68.94

Cell lengths 3.9569, 3.9569, 16.0861 Å; angles 90.00, 90.00, 90.00 degrees
Space group I-42d (No. 122)
Symmetry-distinct sites (fractional):
Sc  0.0000  0.0000  0.0000 [4 per cell]
Be  0.0000  0.0000  0.5000 [4 per cell]
Cu  0.1521  0.2500  0.6250 [8 per cell]

This record from the Alexandria database describes crystalline RbPuTeO6 at its relaxed geometry. The functional is PBE.

Values from the calculation:
E_form (uncorrected), eV/atom: -1.819
Total DFT energy (no corrections), eV per cell: -64.56

Cell lengths 5.8992, 5.9849, 6.0152 Å; angles 89.62, 61.82, 89.98 degrees
Space group P1 (No. 1)
Symmetry-distinct sites (fractional):
Rb  0.0000  0.0000  0.0000 [1 per cell]
Pu  0.3302  0.4903  0.3257 [1 per cell]
Te  0.6720  0.4842  0.6083 [1 per cell]
O  0.0979  0.6764  0.5750 [1 per cell]
O  0.3344  0.6745  0.0642 [1 per cell]
O  0.3904  0.3068  0.6076 [1 per cell]
O  0.5479  0.2940  0.0813 [1 per cell]
O  0.6589  0.6683  0.3510 [1 per cell]
O  0.9615  0.3022  0.3977 [1 per cell]

This record from the Alexandria database describes crystalline LaDyAlZn at its relaxed geometry. The functional is PBE.

Values from the calculation:
D(E_F), states/eV/f.u.: 4.5
Offset from the most stable computed form, eV per atom: 0.017
Total DFT energy (no corrections), eV per cell: -63.60

Cell lengths 7.4002, 7.4002, 7.4002 Å; angles 90.00, 90.00, 90.00 degrees
Space group F-43m (No. 216)
Symmetry-distinct sites (fractional):
La  0.0000  0.0000  0.0000 [4 per cell]
Dy  0.0000  0.0000  0.5000 [4 per cell]
Al  0.2500  0.2500  0.7500 [4 per cell]
Zn  0.2500  0.2500  0.2500 [4 per cell]